This record from OQMD via LeMat-Bulk describes an optimized crystal structure of LuBeInPd. The functional is PBE-GGA.

Unit cell a=4.676 b=4.676 c=4.676 alpha=60.00 beta=60.00 gamma=60.00
Fractional coordinates of all 4 atoms:
1 Lu 0.000 0.000 0.000
2 Be 0.500 0.500 0.500
3 In 0.750 0.750 0.750
4 Pd 0.250 0.250 0.250

Results
crystal system	cubic
DFT total energy	-17.06	eV/cell
relative energy among the computed polymorphs	156	meV per atom
total moment	0.00	μB/cell
SG	F-43m